[1]
Co4ReSb: relaxed, PBE.

Properties
Calculated total energy   -7.172 eV/atom
Symmetry   No. 216
Volume   12.90 Å³ per atom
Size of the total moment   5.93 μB per cell
E_form (uncorrected)   327.2 meV per atom

a = 4.783 Å, b = 4.783 Å, c = 4.783 Å
α = 60.00°, β = 60.00°, γ = 60.00°
Sites, in units of the cell vectors:
Co1 0.874 0.375 0.375
Co2 0.375 0.375 0.874
Co3 0.375 0.874 0.375
Co4 0.375 0.375 0.375
Re1 0.750 0.750 0.750
Sb1 0.000 0.000 0.000


[2]
Sc3Pt: relaxed, PBE.

Properties
Calculated formation energy   -0.68 eV/atom
Calculated total energy   -6.937 eV/atom
Symmetry   No. 71
Volume   20.82 Å³ per atom
Size of the total moment   0.00 μB per cell

a = 4.806 Å, b = 5.807 Å, c = 3.469 Å
α = 72.62°, β = 90.00°, γ = 114.45°
Sites, in units of the cell vectors:
Sc1 0.128 0.423 0.289
Sc2 0.417 0.000 0.500
Sc3 0.705 0.577 0.711
Pt1 0.917 0.000 0.000


[3]
ZrReCl: relaxed, PBE.

Properties
Calculated total energy   -7.545 eV/atom
Symmetry   No. 156
Volume   21.37 Å³ per atom
Size of the total moment   0.00 μB per cell
E_form (uncorrected)   69.2 meV per atom

a = 2.970 Å, b = 2.970 Å, c = 8.392 Å
α = 90.00°, β = 90.00°, γ = 120.00°
Sites, in units of the cell vectors:
Cl1 0.000 0.000 0.916
Re1 0.333 0.667 0.396
Zr1 0.667 0.333 0.688


[4]
Hg3AsBr: relaxed, PBE.

Properties
Calculated total energy   -1.524 eV/atom
Symmetry   No. 148
Volume   39.92 Å³ per atom
Size of the total moment   0.00 μB per cell
E_form (uncorrected)   -78.0 meV per atom

a = 10.623 Å, b = 10.623 Å, c = 10.623 Å
α = 88.43°, β = 88.43°, γ = 88.43°
Sites, in units of the cell vectors:
Hg1 0.829 0.152 0.566
Hg2 0.848 0.434 0.171
Hg3 0.939 0.385 0.623
Hg4 0.479 0.086 0.207
Hg5 0.793 0.521 0.914
Hg6 0.377 0.061 0.615
Hg7 0.615 0.377 0.061
Hg8 0.434 0.171 0.848
Hg9 0.914 0.793 0.521
Hg10 0.086 0.207 0.479
Hg11 0.566 0.829 0.152
Hg12 0.385 0.623 0.939
Hg13 0.623 0.939 0.385
Hg14 0.207 0.479 0.086
Hg15 0.521 0.914 0.793
Hg16 0.061 0.615 0.377
Hg17 0.152 0.566 0.829
Hg18 0.171 0.848 0.434
As1 0.935 0.601 0.728
As2 0.399 0.272 0.065
As3 0.272 0.065 0.399
As4 0.728 0.935 0.601
As5 0.601 0.728 0.935
As6 0.065 0.399 0.272
Br1 0.695 0.249 0.331
Br2 0.669 0.305 0.751
Br3 0.751 0.669 0.305
Br4 0.249 0.331 0.695
Br5 0.331 0.695 0.249
Br6 0.305 0.751 0.669


[5]
Na4Ir: relaxed, PBE.

Properties
Calculated formation energy   0.58 eV/atom
Calculated total energy   -2.248 eV/atom
Symmetry   No. 221
Volume   33.37 Å³ per atom
Size of the total moment   0.00 μB per cell

a = 5.505 Å, b = 5.505 Å, c = 5.505 Å
α = 90.00°, β = 90.00°, γ = 90.00°
Sites, in units of the cell vectors:
Na1 0.000 0.000 0.000
Na2 0.500 0.000 0.500
Na3 0.000 0.500 0.500
Na4 0.500 0.500 0.000
Ir1 0.500 0.500 0.500


[6]
Be2Sn2I: relaxed, PBE.

Properties
Calculated total energy   -2.784 eV/atom
Symmetry   No. 127
Volume   21.58 Å³ per atom
Size of the total moment   0.00 μB per cell
E_form (uncorrected)   618.1 meV per atom

a = 7.817 Å, b = 7.817 Å, c = 3.531 Å
α = 90.00°, β = 90.00°, γ = 90.00°
Sites, in units of the cell vectors:
I1 0.000 0.000 0.000
I2 0.500 0.500 0.000
Be1 0.345 0.845 0.000
Be2 0.845 0.655 0.000
Be3 0.655 0.155 0.000
Be4 0.155 0.345 0.000
Sn1 0.137 0.637 0.500
Sn2 0.637 0.863 0.500
Sn3 0.863 0.363 0.500
Sn4 0.363 0.137 0.500


[7]
NpPdAu4: relaxed, PBE.

Properties
Calculated formation energy   -0.12 eV/atom
Calculated total energy   -5.331 eV/atom
Symmetry   No. 216
Volume   19.84 Å³ per atom
Size of the total moment   4.38 μB per cell

a = 5.522 Å, b = 5.522 Å, c = 5.522 Å
α = 60.00°, β = 60.00°, γ = 60.00°
Sites, in units of the cell vectors:
Np1 0.000 0.000 0.000
Au1 0.625 0.625 0.126
Au2 0.625 0.126 0.625
Au3 0.625 0.625 0.625
Au4 0.126 0.625 0.625
Pd1 0.250 0.250 0.250


[8]
MnRh2Pb: relaxed, PBE.

Properties
Calculated formation energy   0.05 eV/atom
Calculated total energy   -6.848 eV/atom
Symmetry   No. 119
Volume   16.39 Å³ per atom
Size of the total moment   4.20 μB per cell

a = 5.047 Å, b = 5.047 Å, c = 5.047 Å
α = 133.93°, β = 133.94°, γ = 67.19°
Sites, in units of the cell vectors:
Mn1 0.500 0.500 0.000
Pb1 0.250 0.750 0.500
Rh1 0.000 0.000 0.000
Rh2 0.750 0.250 0.500


[9]
BeZn2WN4: relaxed, PBE.

Properties
Calculated total energy   -6.984 eV/atom
Symmetry   No. 31
Volume   11.30 Å³ per atom
Size of the total moment   0.00 μB per cell
E_form (uncorrected)   -418.3 meV per atom

a = 5.172 Å, b = 5.570 Å, c = 6.278 Å
α = 90.00°, β = 90.00°, γ = 90.00°
Sites, in units of the cell vectors:
Be1 0.000 0.170 0.500
Be2 0.500 0.830 0.000
Zn1 0.501 0.332 0.249
Zn2 0.501 0.332 0.751
Zn3 0.001 0.668 0.749
Zn4 0.001 0.668 0.251
W1 0.498 0.843 0.500
W2 0.998 0.157 0.000
N1 0.359 0.124 0.000
N2 0.859 0.876 0.500
N3 0.343 0.147 0.500
N4 0.843 0.853 0.000
N5 0.399 0.685 0.757
N6 0.899 0.315 0.257
N7 0.899 0.315 0.743
N8 0.399 0.685 0.243


[10]
BeInBi3: relaxed, PBE.

Properties
Calculated formation energy   0.42 eV/atom
Calculated total energy   -3.203 eV/atom
Symmetry   No. 221
Volume   28.52 Å³ per atom
Size of the total moment   0.00 μB per cell

a = 5.225 Å, b = 5.225 Å, c = 5.225 Å
α = 90.00°, β = 90.00°, γ = 90.00°
Sites, in units of the cell vectors:
Be1 0.000 0.000 0.000
Bi1 0.000 0.500 0.000
Bi2 0.000 0.000 0.500
Bi3 0.500 0.000 0.000
In1 0.500 0.500 0.500


[11]
PmLuPaSn: relaxed, PBE.

Properties
Calculated formation energy   0.04 eV/atom
Calculated total energy   -5.653 eV/atom
Symmetry   No. 216
Volume   27.00 Å³ per atom
Size of the total moment   1.23 μB per cell

a = 5.346 Å, b = 5.346 Å, c = 5.346 Å
α = 60.00°, β = 60.00°, γ = 60.00°
Sites, in units of the cell vectors:
Pa1 0.750 0.750 0.750
Lu1 0.500 0.500 0.500
Sn1 0.250 0.250 0.250
Pm1 0.000 0.000 0.000


[12]
PmDyCuPb: relaxed, PBE.

Properties
Calculated formation energy   -0.30 eV/atom
Calculated total energy   -4.589 eV/atom
Symmetry   No. 216
Volume   25.82 Å³ per atom
Size of the total moment   0.26 μB per cell

a = 5.266 Å, b = 5.266 Å, c = 5.266 Å
α = 60.00°, β = 60.00°, γ = 60.00°
Sites, in units of the cell vectors:
Pb1 0.750 0.750 0.750
Pm1 0.000 0.000 0.000
Cu1 0.250 0.250 0.250
Dy1 0.500 0.500 0.500


[13]
Mg2CdTcBi: relaxed, PBE.

Properties
Calculated formation energy   1.15 eV/atom
Calculated total energy   -2.519 eV/atom
Symmetry   No. 123
Volume   29.42 Å³ per atom
Size of the total moment   3.91 μB per cell

a = 5.089 Å, b = 5.680 Å, c = 5.089 Å
α = 90.00°, β = 90.00°, γ = 90.00°
Sites, in units of the cell vectors:
Tc1 0.500 0.500 0.500
Mg1 0.000 0.000 0.500
Mg2 0.500 0.000 0.000
Bi1 0.000 0.500 0.000
Cd1 0.000 0.000 0.000


[14]
Nd2Er12Sc: relaxed, PBE.

Properties
Calculated formation energy   0.13 eV/atom
Calculated total energy   -4.582 eV/atom
Symmetry   No. 12
Volume   31.31 Å³ per atom
Size of the total moment   0.00 μB per cell

a = 6.487 Å, b = 6.487 Å, c = 25.362 Å
α = 98.30°, β = 98.30°, γ = 114.11°
Sites, in units of the cell vectors:
Nd1 0.413 0.913 0.280
Nd2 0.913 0.413 0.275
Nd3 0.087 0.587 0.720
Nd4 0.587 0.087 0.725
Er1 0.658 0.664 0.802
Er2 0.164 0.158 0.802
Er3 0.841 0.810 0.939
Er4 0.222 0.722 0.866
Er5 0.964 0.967 0.332
Er6 0.278 0.778 0.134
Er7 0.686 0.186 0.568
Er8 0.467 0.464 0.332
Er9 0.310 0.341 0.939
Er10 0.659 0.690 0.061
Er11 0.173 0.182 0.554
Er12 0.814 0.314 0.432
Er13 0.033 0.036 0.668
Er14 0.327 0.318 0.446
Er15 0.190 0.159 0.061
Er16 0.818 0.827 0.446
Er17 0.682 0.673 0.554
Er18 0.842 0.836 0.198
Er19 0.200 0.700 0.573
Er20 0.536 0.533 0.668
Er21 0.731 0.231 0.877
Er22 0.336 0.342 0.198
Er23 0.300 0.800 0.427
Er24 0.769 0.269 0.123
Sc1 0.500 0.000 0.989
Sc2 0.000 0.500 0.011


[15]
AlAgPb: relaxed, PBE.

Properties
Calculated formation energy   0.08 eV/atom
Calculated total energy   -3.354 eV/atom
Symmetry   No. 1
Volume   23.01 Å³ per atom
Size of the total moment   0.00 μB per cell

a = 9.835 Å, b = 4.670 Å, c = 3.213 Å
α = 70.09°, β = 90.22°, γ = 95.46°
Sites, in units of the cell vectors:
Pb1 0.078 0.974 0.201
Pb2 0.344 0.499 0.429
Al1 0.883 0.383 0.502
Al2 0.635 0.453 0.962
Ag1 0.765 0.914 0.232
Ag2 0.522 0.992 0.689


[16]
Mg2ZrTl: relaxed, PBE.

Properties
Calculated formation energy   0.04 eV/atom
Calculated total energy   -3.483 eV/atom
Symmetry   No. 166
Volume   23.59 Å³ per atom
Size of the total moment   0.00 μB per cell

a = 10.685 Å, b = 10.685 Å, c = 10.685 Å
α = 17.32°, β = 17.32°, γ = 17.32°
Sites, in units of the cell vectors:
Mg1 0.000 0.000 0.000
Mg2 0.500 0.500 0.500
Tl1 0.250 0.250 0.250
Zr1 0.750 0.750 0.750


[17]
DyZnAu: relaxed, PBE.

Properties
Calculated formation energy   -0.49 eV/atom
Calculated total energy   -3.540 eV/atom
Symmetry   No. 216
Volume   23.99 Å³ per atom
Size of the total moment   0.00 μB per cell

a = 4.669 Å, b = 4.669 Å, c = 4.669 Å
α = 60.00°, β = 60.00°, γ = 60.00°
Sites, in units of the cell vectors:
Zn1 0.000 0.000 0.000
Au1 0.250 0.250 0.250
Dy1 0.500 0.500 0.500


[18]
SrLiCl2: relaxed, PBE.

Properties
Calculated total energy   -3.418 eV/atom
Symmetry   No. 99
Volume   26.01 Å³ per atom
Size of the total moment   0.65 μB per cell
E_form (uncorrected)   -1596.0 meV per atom

a = 3.802 Å, b = 3.802 Å, c = 7.199 Å
α = 90.00°, β = 90.00°, γ = 90.00°
Sites, in units of the cell vectors:
Cl1 0.000 0.000 0.999
Cl2 0.500 0.500 0.373
Li1 0.000 0.000 0.349
Sr1 0.500 0.500 0.779


[19]
Li2ScCd4: relaxed, PBE.

Properties
Calculated formation energy   -0.16 eV/atom
Calculated total energy   -2.130 eV/atom
Symmetry   No. 166
Volume   20.22 Å³ per atom
Size of the total moment   0.00 μB per cell

a = 4.795 Å, b = 4.795 Å, c = 7.630 Å
α = 71.69°, β = 71.69°, γ = 60.00°
Sites, in units of the cell vectors:
Li1 0.728 0.728 0.817
Li2 0.272 0.272 0.183
Sc1 0.000 0.000 0.000
Cd1 0.862 0.862 0.415
Cd2 0.138 0.138 0.585
Cd3 0.591 0.591 0.227
Cd4 0.409 0.409 0.773


[20]
ScIr2Ru: relaxed, PBE.

Properties
Calculated formation energy   -0.25 eV/atom
Calculated total energy   -8.586 eV/atom
Symmetry   No. 123
Volume   15.58 Å³ per atom
Size of the total moment   0.89 μB per cell

a = 4.635 Å, b = 4.635 Å, c = 2.901 Å
α = 90.00°, β = 90.00°, γ = 90.00°
Sites, in units of the cell vectors:
Ir1 0.000 0.000 0.000
Ir2 0.500 0.500 0.000
Ru1 0.500 0.000 0.500
Sc1 0.000 0.500 0.500


[21]
CaAl4NiIr2: relaxed, PBE.

Properties
Calculated formation energy   -0.69 eV/atom
Calculated total energy   -5.746 eV/atom
Symmetry   No. 166
Volume   16.89 Å³ per atom
Size of the total moment   0.00 μB per cell

a = 4.210 Å, b = 4.210 Å, c = 9.134 Å
α = 76.68°, β = 76.68°, γ = 60.00°
Sites, in units of the cell vectors:
Ca1 0.000 0.000 0.000
Al1 0.408 0.408 0.775
Al2 0.865 0.865 0.404
Al3 0.135 0.135 0.596
Al4 0.592 0.592 0.225
Ni1 0.500 0.500 0.500
Ir1 0.767 0.767 0.698
Ir2 0.233 0.233 0.302


[22]
ScAl2Cl: relaxed, PBE.

Properties
Calculated total energy   -4.218 eV/atom
Symmetry   No. 139
Volume   19.28 Å³ per atom
Size of the total moment   0.00 μB per cell
E_form (uncorrected)   -302.1 meV per atom

a = 5.912 Å, b = 5.912 Å, c = 5.912 Å
α = 142.20°, β = 142.20°, γ = 54.53°
Sites, in units of the cell vectors:
Sc1 0.750 0.250 0.500
Al1 0.000 0.000 0.000
Al2 0.500 0.500 0.000
Cl1 0.250 0.750 0.500


[23]
Er8GaBi2: relaxed, PBE.

Properties
Calculated formation energy   -0.34 eV/atom
Calculated total energy   -4.638 eV/atom
Symmetry   No. 12
Volume   28.62 Å³ per atom
Size of the total moment   0.00 μB per cell

a = 5.070 Å, b = 6.835 Å, c = 9.440 Å
α = 87.90°, β = 105.58°, γ = 90.00°
Sites, in units of the cell vectors:
Er1 0.409 0.434 0.818
Er2 0.654 0.087 0.308
Er3 0.785 0.633 0.570
Er4 0.027 0.242 0.054
Er5 0.215 0.367 0.430
Er6 0.346 0.913 0.692
Er7 0.591 0.566 0.182
Er8 0.973 0.758 0.946
Ga1 0.500 0.000 0.000
Bi1 0.831 0.178 0.662
Bi2 0.169 0.822 0.338


[24]
Zr2NiTe: relaxed, PBE.

Properties
Calculated total energy   -6.881 eV/atom
Symmetry   No. 10
Volume   19.96 Å³ per atom
Size of the total moment   0.00 μB per cell
E_form (uncorrected)   -376.0 meV per atom

a = 3.593 Å, b = 3.588 Å, c = 6.764 Å
α = 66.34°, β = 90.00°, γ = 90.00°
Sites, in units of the cell vectors:
Ni1 0.500 0.250 0.250
Te1 0.500 0.750 0.750
Zr1 0.000 0.017 0.022
Zr2 0.000 0.483 0.478


[25]
NbTe3S: relaxed, PBE.

Properties
Calculated total energy   -3.911 eV/atom
Symmetry   No. 221
Volume   27.43 Å³ per atom
Size of the total moment   2.12 μB per cell
E_form (uncorrected)   813.6 meV per atom

a = 5.157 Å, b = 5.157 Å, c = 5.157 Å
α = 90.00°, β = 90.00°, γ = 90.00°
Sites, in units of the cell vectors:
Nb1 0.500 0.500 0.500
Te1 0.000 0.500 0.000
Te2 0.000 0.000 0.500
Te3 0.500 0.000 0.000
S1 0.000 0.000 0.000